1.
# LaInRe2 | Alexandria via LeMat-Bulk | PBE-GGA | relaxed
# - Fermi-level density of states: 3.57 states/eV/f.u.
# - Space group: P2/m (10)
# - Total moment: 0.0 μB per formula unit
# - ΔE_f: 691 meV per atom
data_LaInRe2
_chemical_formula_sum 'La1 In1 Re2'
_cell_length_a 4.955
_cell_length_b 3.203
_cell_length_c 5.507
_cell_angle_alpha 87.43
_cell_angle_beta 90.00
_cell_angle_gamma 90.00
_symmetry_space_group_name_H-M 'P 1'
_symmetry_Int_Tables_number 1
loop_
_symmetry_equiv_pos_as_xyz
'x,y,z'
loop_
_atom_site_label
_atom_site_fract_x
_atom_site_fract_y
_atom_site_fract_z
In1 0.500 0.250 0.250
La1 0.500 0.750 0.750
Re1 0.000 0.103 0.951
Re2 0.000 0.397 0.549

---

2.
# LaInRe2 | Alexandria via LeMat-Bulk | PBE-GGA | relaxed
# - Fermi-level density of states: 3.04 states/eV/f.u.
# - Space group: P4mm (99)
# - Total moment: 0.0 μB per formula unit
# - ΔE_f: 53 meV per atom
data_LaInRe2
_chemical_formula_sum 'La1 In1 Re2'
_cell_length_a 3.135
_cell_length_b 3.136
_cell_length_c 9.012
_cell_angle_alpha 69.65
_cell_angle_beta 90.00
_cell_angle_gamma 90.00
_symmetry_space_group_name_H-M 'P 1'
_symmetry_Int_Tables_number 1
loop_
_symmetry_equiv_pos_as_xyz
'x,y,z'
loop_
_atom_site_label
_atom_site_fract_x
_atom_site_fract_y
_atom_site_fract_z
In1 0.000 0.544 0.456
La1 0.500 0.719 0.781
Re1 0.000 0.948 0.052
Re2 0.500 0.288 0.212

---

3.
# LaInRe2 | Alexandria via LeMat-Bulk | PBE-GGA | relaxed
# - Fermi-level density of states: 3.74 states/eV/f.u.
# - Space group: I-4m2 (119)
# - Total moment: 0.0 μB per formula unit
# - ΔE_f: 710 meV per atom
data_LaInRe2
_chemical_formula_sum 'La1 In1 Re2'
_cell_length_a 4.863
_cell_length_b 4.863
_cell_length_c 4.863
_cell_angle_alpha 120.50
_cell_angle_beta 120.50
_cell_angle_gamma 89.14
_symmetry_space_group_name_H-M 'P 1'
_symmetry_Int_Tables_number 1
loop_
_symmetry_equiv_pos_as_xyz
'x,y,z'
loop_
_atom_site_label
_atom_site_fract_x
_atom_site_fract_y
_atom_site_fract_z
In1 0.500 0.500 0.000
La1 0.750 0.250 0.500
Re1 0.000 0.000 0.000
Re2 0.250 0.750 0.500

---

4.
# LaInRe2 | Alexandria via LeMat-Bulk | PBE-GGA | relaxed
# - Fermi-level density of states: 6.88 states/eV/f.u.
# - Space group: P4/mmm (123)
# - Total moment: 0.1 μB per formula unit
# - ΔE_f: 881 meV per atom
data_LaInRe2
_chemical_formula_sum 'La1 In1 Re2'
_cell_length_a 2.884
_cell_length_b 2.884
_cell_length_c 9.492
_cell_angle_alpha 90.00
_cell_angle_beta 90.00
_cell_angle_gamma 90.00
_symmetry_space_group_name_H-M 'P 1'
_symmetry_Int_Tables_number 1
loop_
_symmetry_equiv_pos_as_xyz
'x,y,z'
loop_
_atom_site_label
_atom_site_fract_x
_atom_site_fract_y
_atom_site_fract_z
In1 0.500 0.500 0.250
La1 0.500 0.500 0.750
Re1 0.000 0.000 0.024
Re2 0.000 0.000 0.476